1.
First-principles (GGA-PBEsol) data for La2CuSi after structural relaxation, as listed in Alexandria.

It has space group Imm2 (No. 44), with a = 3.837 Å, b = 4.630 Å, c = 10.076 Å, α = 90.00°, β = 90.00° and γ = 90.00°. Symmetry generates all atoms from La at (0.000, 0.000, 0.000), La at (0.000, 0.500, 0.208), Cu at (0.000, 0.500, 0.778) and Si at (0.000, 0.000, 0.422).

Its final energy is -5.62 eV/atom. The uncorrected formation energy is -0.422 eV per atom. As for the density of states at the Fermi level: 0.95 states/eV per atom.



2.
First-principles (GGA-PBEsol) data for Na2TiSb2 after structural relaxation, as listed in Alexandria.

It has space group P4/mbm (No. 127), with a = 7.231 Å, b = 7.231 Å, c = 4.962 Å, α = 90.00°, β = 90.00° and γ = 90.00°. Symmetry generates all atoms from Na at (0.166, 0.334, 0.000), Ti at (0.000, 0.000, 0.500) and Sb at (0.145, 0.645, 0.500).

Its final energy is -4.24 eV/atom. The uncorrected formation energy is -0.191 eV per atom. As for the density of states at the Fermi level: 0.54 states/eV per atom.



3.
First-principles (GGA-PBEsol) data for BaScH2 after structural relaxation, as listed in Alexandria.

It has space group Fm-3m (No. 225), with a = 6.399 Å, b = 6.399 Å, c = 6.399 Å, α = 90.00°, β = 90.00° and γ = 90.00°. Symmetry generates all atoms from Ba at (0.000, 0.000, 0.000), Sc at (0.000, 0.000, 0.500) and H at (0.250, 0.250, 0.250).

Its final energy is -3.57 eV/atom. As for the density of states at the Fermi level: 0.86 states/eV per atom.



4.
First-principles (GGA-PBEsol) data for CuAgHg after structural relaxation, as listed in Alexandria.

It has space group F-43m (No. 216), with a = 6.193 Å, b = 6.193 Å, c = 6.193 Å, α = 90.00°, β = 90.00° and γ = 90.00°. Symmetry generates all atoms from Cu at (0.000, 0.000, 0.000), Ag at (0.000, 0.000, 0.500) and Hg at (0.250, 0.250, 0.250).

Its final energy is -2.33 eV/atom. As for the density of states at the Fermi level: 0.29 states/eV per atom. The calculation puts the formation energy at 0.4076 eV per atom.